No. 1
CuAg2Au at its PBEsol-relaxed geometry, computed with SCAN.

Values from the calculation:
Fermi-level density of states: 0.226 states/eV/atom
Mass density: 12.786 g/cm3
Volume: 15.46 Å³ per atom
Energy relative to the elements: -0.0009 eV per atom

CIF file:
```
data_CuAg2Au
_cell_length_a 3.971
_cell_length_b 3.971
_cell_length_c 7.845
_cell_angle_alpha 90.00
_cell_angle_beta 90.00
_cell_angle_gamma 90.00
_space_group_name_H-M_alt 'I -4 m 2'
_space_group_IT_number 119
_space_group_name_Hall 'I -4 -2'
loop_
_atom_site_label
_atom_site_type_symbol
_atom_site_fract_x
_atom_site_fract_y
_atom_site_fract_z
Cu1 Cu 0.000 0.000 0.000
Ag1 Ag 0.000 0.000 0.500
Ag2 Ag 0.000 0.500 0.250
Au1 Au 0.000 0.500 0.750
```


No. 2
Cu2AgAu at its PBEsol-relaxed geometry, computed with SCAN.

Values from the calculation:
Fermi-level density of states: 0.232 states/eV/atom
Mass density: 12.746 g/cm3
Volume: 14.07 Å³ per atom
Energy relative to the elements: -0.0129 eV per atom

CIF file:
```
data_Cu2AgAu
_cell_length_a 3.968
_cell_length_b 3.968
_cell_length_c 3.573
_cell_angle_alpha 90.00
_cell_angle_beta 90.00
_cell_angle_gamma 90.00
_space_group_name_H-M_alt 'P 4/m m m'
_space_group_IT_number 123
_space_group_name_Hall '-P 4 2'
loop_
_atom_site_label
_atom_site_type_symbol
_atom_site_fract_x
_atom_site_fract_y
_atom_site_fract_z
Cu1 Cu 0.000 0.500 0.000
Ag1 Ag 0.000 0.000 0.500
Au1 Au 0.500 0.500 0.500
```


No. 3
CuAgAu2 at its PBEsol-relaxed geometry, computed with SCAN.

Values from the calculation:
Fermi-level density of states: 0.257 states/eV/atom
Mass density: 15.105 g/cm3
Volume: 15.54 Å³ per atom
Energy relative to the elements: -0.0464 eV per atom

CIF file:
```
data_CuAgAu2
_cell_length_a 3.955
_cell_length_b 3.955
_cell_length_c 7.946
_cell_angle_alpha 90.00
_cell_angle_beta 90.00
_cell_angle_gamma 90.00
_space_group_name_H-M_alt 'I 4/m m m'
_space_group_IT_number 139
_space_group_name_Hall '-I 4 2'
loop_
_atom_site_label
_atom_site_type_symbol
_atom_site_fract_x
_atom_site_fract_y
_atom_site_fract_z
Cu1 Cu 0.000 0.000 0.000
Ag1 Ag 0.000 0.000 0.500
Au1 Au 0.000 0.500 0.250
```


No. 4
CuAgAu2 at its PBEsol-relaxed geometry, computed with SCAN.

Values from the calculation:
Fermi-level density of states: 0.268 states/eV/atom
Mass density: 15.083 g/cm3
Volume: 15.56 Å³ per atom
Energy relative to the elements: -0.0386 eV per atom

CIF file:
```
data_CuAgAu2
_cell_length_a 5.592
_cell_length_b 7.899
_cell_length_c 2.818
_cell_angle_alpha 90.00
_cell_angle_beta 90.00
_cell_angle_gamma 90.00
_space_group_name_H-M_alt 'C m m m'
_space_group_IT_number 65
_space_group_name_Hall '-C 2 2'
loop_
_atom_site_label
_atom_site_type_symbol
_atom_site_fract_x
_atom_site_fract_y
_atom_site_fract_z
Cu1 Cu 0.000 0.000 0.000
Ag1 Ag 0.000 0.500 0.000
Au1 Au 0.250 0.250 0.500
```


No. 5
CuAgAu2 at its PBEsol-relaxed geometry, computed with SCAN.

Values from the calculation:
Fermi-level density of states: 0.274 states/eV/atom
Mass density: 15.178 g/cm3
Volume: 15.46 Å³ per atom
Energy relative to the elements: -0.0921 eV per atom

CIF file:
```
data_CuAgAu2
_cell_length_a 2.823
_cell_length_b 2.888
_cell_length_c 7.587
_cell_angle_alpha 90.00
_cell_angle_beta 90.00
_cell_angle_gamma 90.00
_space_group_name_H-M_alt 'P m m m'
_space_group_IT_number 47
_space_group_name_Hall '-P 2 2'
loop_
_atom_site_label
_atom_site_type_symbol
_atom_site_fract_x
_atom_site_fract_y
_atom_site_fract_z
Cu1 Cu 0.000 0.000 0.000
Ag1 Ag 0.000 0.000 0.500
Au1 Au 0.500 0.500 0.228
```


No. 6
Cu2AgAu at its PBEsol-relaxed geometry, computed with SCAN.

Values from the calculation:
Fermi-level density of states: 0.291 states/eV/atom
Mass density: 12.651 g/cm3
Volume: 14.17 Å³ per atom
Energy relative to the elements: 0.0106 eV per atom

CIF file:
```
data_Cu2AgAu
_cell_length_a 2.757
_cell_length_b 3.532
_cell_length_c 5.822
_cell_angle_alpha 90.00
_cell_angle_beta 90.00
_cell_angle_gamma 90.00
_space_group_name_H-M_alt 'P m m 2'
_space_group_IT_number 25
_space_group_name_Hall 'P 2 -2'
loop_
_atom_site_label
_atom_site_type_symbol
_atom_site_fract_x
_atom_site_fract_y
_atom_site_fract_z
Cu1 Cu 0.000 0.000 0.000
Cu2 Cu 0.500 0.500 0.210
Ag1 Ag 0.000 0.000 0.457
Au1 Au 0.500 0.500 0.754
```